Compound: Pm3MgCu3
Source: Alexandria via LeMat-Bulk
Functional: PBE-GGA
Structure: relaxed

Values from the calculation:
* energy of formation from the pure elements: -64 meV/atom
* space-group type: No. 12

Cell and atoms, written as extended XYZ:
```
14
Lattice="4.560 -5.216 0.000 4.560 5.216 0.000 -0.162 0.000 6.932" Properties=species:S:1:pos:R:3 pbc="T T T"
Pm 4.560 3.477 0.000
Pm 4.479 2.488 3.466
Pm 3.179 0.000 0.991
Pm 5.779 0.000 5.941
Pm 4.479 -2.488 3.466
Pm 4.560 -3.477 0.000
Mg 2.208 0.000 4.505
Mg 6.750 0.000 2.427
Cu 2.254 2.449 5.521
Cu 0.596 0.000 2.359
Cu 2.254 -2.449 5.521
Cu 6.704 2.449 1.411
Cu 8.362 0.000 4.573
Cu 6.704 -2.449 1.411
```

---

Compound: AgGe2Te4
Source: Alexandria via LeMat-Bulk
Functional: PBE-GGA
Structure: relaxed

Values from the calculation:
* formation energy without anion corrections: -6 meV/atom
* space-group type: No. 111

Cell and atoms, written as extended XYZ:
```
7
Lattice="6.151 0.000 0.000 0.000 6.151 0.000 0.000 0.000 6.133" Properties=species:S:1:pos:R:3 pbc="T T T"
Ag 0.000 0.000 0.000
Ge 0.000 3.076 3.066
Ge 3.076 0.000 3.066
Te 1.673 1.673 1.439
Te 1.673 4.478 4.694
Te 4.478 1.673 4.694
Te 4.478 4.478 1.439
```

---

Compound: NbBSbRh2
Source: Alexandria via LeMat-Bulk
Functional: PBE-GGA
Structure: relaxed

Values from the calculation:
* formation energy without anion corrections: 1718 meV/atom
* space-group type: No. 123

Cell and atoms, written as extended XYZ:
```
5
Lattice="4.716 0.000 0.000 0.000 4.716 0.000 0.000 0.000 5.367" Properties=species:S:1:pos:R:3 pbc="T T T"
Nb 0.000 0.000 0.000
B 2.358 2.358 2.683
Sb 0.000 0.000 2.683
Rh 0.000 2.358 0.000
Rh 2.358 0.000 0.000
```

---

Compound: Li2VIr
Source: Alexandria via LeMat-Bulk
Functional: PBE-GGA
Structure: relaxed

Values from the calculation:
* energy relative to the lowest polymorph listed for this composition: 0 meV per atom
* energy of formation from the pure elements: 128 meV/atom
* space-group type: No. 122

Cell and atoms, written as extended XYZ:
```
8
Lattice="-1.758 1.758 9.629 1.758 -1.758 9.629 1.758 1.758 -9.629" Properties=species:S:1:pos:R:3 pbc="T T T"
Li 2.637 0.819 -2.407
Li 0.819 0.879 2.407
Li -0.879 0.939 7.222
Li 0.939 0.879 12.036
V 1.758 0.000 4.814
V 0.000 0.000 9.629
Ir 0.000 0.000 0.000
Ir 0.000 1.758 4.814
```

---

Compound: CsZn3Pd
Source: Alexandria via LeMat-Bulk
Functional: PBE-GGA
Structure: relaxed

Values from the calculation:
* energy relative to the lowest polymorph listed for this composition: 1352 meV per atom
* energy of formation from the pure elements: 1234 meV/atom
* space-group type: No. 221

Cell and atoms, written as extended XYZ:
```
5
Lattice="6.643 0.000 0.000 0.000 6.643 0.000 0.000 0.000 6.643" Properties=species:S:1:pos:R:3 pbc="T T T"
Cs 0.000 0.000 0.000
Zn 0.000 0.000 3.322
Zn 0.000 3.322 0.000
Zn 3.322 0.000 0.000
Pd 3.322 3.322 3.322
```

---

Compound: Ti7AuC2
Source: Alexandria via LeMat-Bulk
Functional: PBE-GGA
Structure: relaxed

Values from the calculation:
* energy of formation from the pure elements: -192 meV/atom
* space-group type: No. 65

Cell and atoms, written as extended XYZ:
```
10
Lattice="3.460 -5.483 0.000 3.460 5.483 0.000 0.000 0.000 4.102" Properties=species:S:1:pos:R:3 pbc="T T T"
Ti 0.000 0.000 0.000
Ti 2.084 1.467 0.000
Ti 3.460 3.070 2.051
Ti 2.084 -1.467 0.000
Ti 4.837 1.467 0.000
Ti 3.460 -3.070 2.051
Ti 4.837 -1.467 0.000
Au 3.460 0.000 2.051
C 3.460 3.256 0.000
C 3.460 -3.256 0.000
```

---

Compound: Hf2NpTl3Te6
Source: Alexandria via LeMat-Bulk
Functional: PBE-GGA
Structure: relaxed

Values from the calculation:
* formation energy without anion corrections: -550 meV/atom
* space-group type: No. 12

Cell and atoms, written as extended XYZ:
```
12
Lattice="3.647 -6.322 0.000 3.647 6.322 0.000 -2.450 0.000 8.413" Properties=species:S:1:pos:R:3 pbc="T T T"
Hf 3.647 4.174 0.000
Hf 3.647 -4.174 0.000
Np 3.647 0.000 0.000
Tl -1.225 0.000 4.207
Tl 2.422 1.981 4.207
Tl 2.422 -1.981 4.207
Te -0.091 2.224 6.648
Te 1.064 0.000 1.696
Te -0.091 -2.224 6.648
Te 4.935 2.224 1.765
Te 3.780 0.000 6.717
Te 4.935 -2.224 1.765
```

---

Compound: La2Se3
Source: Alexandria via LeMat-Bulk
Functional: PBE-GGA
Structure: relaxed

Values from the calculation:
* formation energy without anion corrections: -1974 meV/atom
* space-group type: No. 164

Cell and atoms, written as extended XYZ:
```
5
Lattice="4.845 0.000 0.000 -2.423 4.196 0.000 0.000 0.000 7.472" Properties=species:S:1:pos:R:3 pbc="T T T"
La 0.000 2.797 1.962
La 2.423 1.399 5.511
Se 0.000 0.000 3.736
Se 0.000 2.797 6.372
Se 2.423 1.399 1.100
```

---

Compound: KLiLaBr5
Source: Alexandria via LeMat-Bulk
Functional: PBE-GGA
Structure: relaxed

Values from the calculation:
* formation energy without anion corrections: -1811 meV/atom
* space-group type: No. 15

Cell and atoms, written as extended XYZ:
```
16
Lattice="4.724 -6.464 0.000 4.724 6.464 0.000 -4.336 0.000 10.005" Properties=species:S:1:pos:R:3 pbc="T T T"
K 1.472 4.596 7.504
K 3.640 -4.596 2.501
Li 3.640 4.006 2.501
Li 1.472 -4.006 7.504
La 4.724 0.000 0.000
La 2.556 0.000 5.003
Br -2.338 0.848 9.301
Br 1.936 2.587 3.758
Br -0.170 -0.848 4.298
Br 1.472 1.211 7.504
Br 5.343 2.587 1.245
Br -0.232 -2.587 8.761
Br 3.640 -1.211 2.501
Br 5.282 0.848 5.707
Br 3.175 -2.587 6.247
Br 7.450 -0.848 0.705
```

---

Compound: PmAl2O4
Source: Alexandria via LeMat-Bulk
Functional: PBE-GGA
Structure: relaxed

Values from the calculation:
* formation energy without anion corrections: -2757 meV/atom
* energy relative to the lowest polymorph listed for this composition: 0 meV per atom
* space-group type: No. 43

Cell and atoms, written as extended XYZ:
```
14
Lattice="0.000 5.672 3.237 4.822 0.000 3.237 4.822 5.672 0.000" Properties=species:S:1:pos:R:3 pbc="T T T"
Pm 0.000 0.000 0.000
Pm 2.411 2.836 1.619
Al 5.968 3.594 2.102
Al 6.087 6.430 3.721
Al 3.676 7.750 2.102
Al 3.557 4.914 3.721
O 4.223 4.267 2.125
O 6.559 4.662 3.493
O 5.422 7.077 2.125
O 7.833 7.103 3.744
O 8.970 9.518 5.112
O 6.634 9.914 3.744
O 3.085 6.682 3.493
O 5.497 7.498 5.112
```

---

Compound: Sm8Y4Er
Source: Alexandria via LeMat-Bulk
Functional: PBE-GGA
Structure: relaxed

Values from the calculation:
* energy of formation from the pure elements: 497 meV/atom
* space-group type: No. 166

Cell and atoms, written as extended XYZ:
```
13
Lattice="5.560 3.210 4.521 -5.560 3.210 4.521 0.000 -6.420 4.521" Properties=species:S:1:pos:R:3 pbc="T T T"
Sm 0.000 0.000 3.270
Sm 0.000 -3.317 5.603
Sm -2.873 1.659 5.603
Sm -2.873 -1.659 7.960
Sm 2.873 1.659 5.603
Sm 2.873 -1.659 7.960
Sm 0.000 3.317 7.960
Sm 0.000 0.000 10.293
Y 0.000 0.000 0.000
Y -2.780 -1.605 4.521
Y -2.780 1.605 9.042
Y 0.000 3.210 4.521
Er 0.000 0.000 6.782
```

---

Compound: TaZnMo2W
Source: Alexandria via LeMat-Bulk
Functional: PBE-GGA
Structure: relaxed

Values from the calculation:
* energy relative to the lowest polymorph listed for this composition: 550 meV per atom
* energy of formation from the pure elements: 2175 meV/atom
* space-group type: No. 123

Cell and atoms, written as extended XYZ:
```
5
Lattice="4.681 0.000 0.000 0.000 4.681 0.000 0.000 0.000 4.700" Properties=species:S:1:pos:R:3 pbc="T T T"
Ta 0.000 0.000 0.000
Zn 0.000 0.000 2.350
Mo 0.000 2.340 0.000
Mo 2.340 0.000 0.000
W 2.340 2.340 2.350
```